The following is a DFT calculation (GGA-PBE) of crystalline DyPuN at its relaxed geometry.

Uncorrected formation energy (eV/atom): 0.28
Offset from the most stable computed form (eV per atom): 1.116
Total moment (μB/cell): 6.3

a b c (Å): 4.9096 4.9096 4.9096
angles (deg): 125.69 125.69 80.40
Last column: nearest neighbours and their distance in Å.
Atoms (fractional coordinates):
Dy: 0.0000 0.0000 0.0000  1 N 2.12
Pu: 0.4453 0.4453 0.0000  1 N 2.04
N: 0.7168 0.7168 0.0000  1 Pu 2.04, 1 Dy 2.12

The following is a DFT calculation (GGA-PBE) of crystalline SmLuAlIn at its relaxed geometry.

Formation enthalpy at 0 K (meV/atom): -386
Total moment (μB/cell): 0.0

a b c (Å): 5.2236 5.2236 5.2236
angles (deg): 60.00 60.00 60.00
Last column: nearest neighbours and their distance in Å.
Atoms (fractional coordinates):
Sm: 0.0000 0.0000 0.0000  4 In 3.20, 4 Al 3.20
Lu: 0.5000 0.5000 0.5000  4 In 3.20, 4 Al 3.20
Al: 0.2500 0.2500 0.2500  4 Lu 3.20, 4 Sm 3.20
In: 0.7500 0.7500 0.7500  4 Lu 3.20, 4 Sm 3.20

The following is a DFT calculation (GGA-PBE) of crystalline TcW2Au at its relaxed geometry.

Offset from the most stable computed form (eV per atom): 0.111
Formation enthalpy at 0 K (meV/atom): 328
Total moment (μB/cell): 0.0

a b c (Å): 4.8582 4.8582 4.8332
angles (deg): 101.56 101.56 35.27
Last column: nearest neighbours and their distance in Å.
Atoms (fractional coordinates):
Tc: 0.0000 0.0000 0.0000  7 W 2.72-2.87, 3 Au 2.83-2.85, 2 Tc 2.94
W: 0.2572 0.2572 0.7715  3 Tc 2.72-2.83, 5 W 2.78-2.94, 4 Au 2.81-2.85
W: 0.5102 0.5102 0.5136  3 Au 2.78-2.83, 5 W 2.78-2.94, 4 Tc 2.79-2.87
Au: 0.7551 0.7551 0.2658  7 W 2.78-2.85, 3 Tc 2.83-2.85, 2 Au 2.94